Entry 1:
A relaxed structure of AgWBr2. Source: Alexandria, functional PBE-GGA.

Values from the calculation:
As for the space-group type: P4/mmm, No. 123. Its total energy is -16.2 eV/cell. For the offset from the most stable computed form, the calculation gives 0.399 eV/atom. Its crystal system is tetragonal.

Cell: 3.1087 3.1087 9.7973 Å, 90.00 90.00 90.00°
Last column: nearest neighbours and their distance in Å.
Fractional positions:
Ag 0.0000 0.0000 0.0000  4 Ag 3.11
W 0.0000 0.0000 0.5000  8 Br 2.73
Br 0.5000 0.5000 0.3344  4 W 2.73
Br 0.5000 0.5000 0.6656  4 W 2.73

=====

Entry 2:
A relaxed structure of Ta2CoRh2. Source: Alexandria, functional PBE-GGA.

Values from the calculation:
As for the space-group type: P4/mbm, No. 127. For the energy relative to the elements, the calculation gives -0.10 eV/atom. Its total energy is -92.0 eV/cell. For the offset from the most stable computed form, the calculation gives 0.213 eV/atom. Its crystal system is tetragonal.

Cell: 7.1835 7.1835 3.0953 Å, 90.00 90.00 90.00°
Last column: nearest neighbours and their distance in Å.
Fractional positions:
Ta 0.1718 0.3282 0.0000  6 Rh 2.52-2.69
Ta 0.3282 0.8282 0.0000  6 Rh 2.52-2.69
Ta 0.6718 0.1718 0.0000  6 Rh 2.52-2.69
Ta 0.8282 0.6718 0.0000  6 Rh 2.52-2.69
Co 0.0000 0.0000 0.5000  4 Rh 2.80, 8 Ta 3.08, 2 Co 3.10
Co 0.5000 0.5000 0.5000  4 Rh 2.80, 8 Ta 3.08, 2 Co 3.10
Rh 0.1329 0.6329 0.5000  6 Ta 2.52-2.69, 1 Rh 2.70, 2 Co 2.80
Rh 0.3671 0.1329 0.5000  6 Ta 2.52-2.69, 1 Rh 2.70, 2 Co 2.80
Rh 0.6329 0.8671 0.5000  6 Ta 2.52-2.69, 1 Rh 2.70, 2 Co 2.80
Rh 0.8671 0.3671 0.5000  6 Ta 2.52-2.69, 1 Rh 2.70, 2 Co 2.80

=====

Entry 3:
A relaxed structure of NiPtCl2. Source: Alexandria, functional PBE-GGA.

Values from the calculation:
As for the space-group type: Pm, No. 6. Its total energy is -15.6 eV/cell. For the offset from the most stable computed form, the calculation gives 0.204 eV/atom. Its crystal system is monoclinic.

Cell: 3.2065 3.3501 7.7002 Å, 90.00 90.23 90.00°
Last column: nearest neighbours and their distance in Å.
Fractional positions:
Ni 0.0000 0.0000 0.0000  2 Cl 2.21
Pt 0.5019 0.5000 0.1666  2 Cl 2.36
Cl 0.5041 0.0000 0.3827  2 Pt 2.36
Cl 0.9993 0.5000 0.8124  2 Ni 2.21

=====

Entry 4:
A relaxed structure of YTa2In. Source: Alexandria, functional PBE-GGA.

Values from the calculation:
As for the space-group type: P4mm, No. 99. For the energy relative to the elements, the calculation gives 0.03 eV/atom. Its total energy is -32.8 eV/cell. Its crystal system is tetragonal.

Cell: 3.5265 3.5265 7.1754 Å, 90.00 90.00 90.00°
Last column: nearest neighbours and their distance in Å.
Fractional positions:
Y 0.0000 0.0000 0.0000  5 Ta 3.20-3.27, 4 In 3.28, 4 Y 3.53
Ta 0.0000 0.0000 0.5449  4 Ta 2.79, 4 In 3.06
Ta 0.5000 0.5000 0.7208  4 Ta 2.79, 1 In 3.04
In 0.5000 0.5000 0.2973  5 Ta 3.04-3.06, 4 Y 3.28

=====

Entry 5:
A relaxed structure of CrInW2. Source: Alexandria, functional PBE-GGA.

Values from the calculation:
As for the space-group type: C2/m, No. 12. For the energy relative to the elements, the calculation gives 0.55 eV/atom. Its total energy is -72.1 eV/cell. Its crystal system is monoclinic.

Cell: 5.4650 9.0889 2.7647 Å, 90.00 108.44 90.00°
Last column: nearest neighbours and their distance in Å.
Fractional positions:
Cr 0.0000 0.0000 0.0000  2 In 2.73, 2 Cr 2.76, 4 W 2.78
Cr 0.5000 0.5000 0.0000  2 In 2.73, 2 Cr 2.76, 4 W 2.78
In 0.0000 0.5000 0.0000  2 Cr 2.73, 2 In 2.76, 4 W 2.78
In 0.5000 0.0000 0.0000  2 Cr 2.73, 2 In 2.76, 4 W 2.78
W 0.2500 0.2500 0.5000  4 W 2.73-2.76, 2 Cr 2.78, 2 In 2.78
W 0.2500 0.7500 0.5000  4 W 2.73-2.76, 2 Cr 2.78, 2 In 2.78
W 0.7500 0.2500 0.5000  4 W 2.73-2.76, 2 Cr 2.78, 2 In 2.78
W 0.7500 0.7500 0.5000  4 W 2.73-2.76, 2 Cr 2.78, 2 In 2.78

=====

Entry 6:
A relaxed structure of KRbCo2Br. Source: Alexandria, functional PBE-GGA.

Values from the calculation:
As for the space-group type: P4/mmm, No. 123. Its total energy is -13.8 eV/cell. Its crystal system is tetragonal.

Cell: 4.7335 4.7335 6.1513 Å, 90.00 90.00 90.00°
Last column: nearest neighbours and their distance in Å.
Fractional positions:
K 0.0000 0.0000 0.0000  4 Rb 3.35
Rb 0.5000 0.5000 0.0000  2 Br 3.08, 4 K 3.35
Co 0.0000 0.5000 0.5000  2 Br 2.37
Co 0.5000 0.0000 0.5000  2 Br 2.37
Br 0.5000 0.5000 0.5000  4 Co 2.37